No. 1
VASP calculation (PBE) on an optimized crystal structure of TlTcNi2.

Computed properties:
The calculation puts the formation energy at 0.4368 eV/atom.

Cell and atoms, written as POSCAR:
```
TlTcNi2
1.0
5.798 0.000 0.000
0.000 5.826 0.000
0.000 0.000 6.948
Tl Tc Ni
4 4 8
Cartesian
0.000 0.000 0.000 Tl
0.000 2.913 3.474 Tl
2.899 0.000 3.474 Tl
2.899 2.913 0.000 Tl
0.000 0.000 3.474 Tc
0.000 2.913 0.000 Tc
2.899 0.000 0.000 Tc
2.899 2.913 3.474 Tc
1.450 1.456 1.737 Ni
1.450 1.456 5.211 Ni
1.450 4.369 1.737 Ni
1.450 4.369 5.211 Ni
4.349 1.456 1.737 Ni
4.349 1.456 5.211 Ni
4.349 4.369 1.737 Ni
4.349 4.369 5.211 Ni
```

=====

No. 2
VASP calculation (PBE) on an optimized crystal structure of DyPa2Si6.

Computed properties:
The formation energy (no corrections) is -0.5480 eV per atom.

Cell and atoms, written as POSCAR:
```
DyPa2Si6
1.0
7.030 0.000 0.000
-3.515 6.088 0.000
0.000 0.000 3.923
Dy Pa Si
1 2 6
Cartesian
0.000 0.000 0.000 Dy
0.000 4.059 0.000 Pa
3.515 2.029 0.000 Pa
-1.174 2.034 1.962 Si
-2.340 4.054 1.962 Si
2.349 0.000 1.962 Si
1.174 2.034 1.962 Si
4.681 0.000 1.962 Si
2.340 4.054 1.962 Si
```

=====

No. 3
VASP calculation (PBE) on an optimized crystal structure of CoCuTc2.

Computed properties:
The calculation puts the formation energy at 0.1252 eV/atom.

Cell and atoms, written as POSCAR:
```
CoCuTc2
1.0
2.616 0.000 0.000
0.000 4.270 0.000
0.000 0.000 4.606
Co Cu Tc
1 1 2
Cartesian
0.000 0.000 0.000 Co
0.000 2.135 3.195 Cu
1.308 0.000 2.343 Tc
1.308 2.135 0.849 Tc
```

=====

no.,theoretical density (Mg/m³)
1,11.88
2,7.84
3,10.28